P) The following is a DFT calculation (PBE-GGA) of LaPrGeRh after structural relaxation.

Lattice parameters (Å, degrees): 7.342 7.342 7.342 90.00 90.00 90.00
Sites, in units of the cell vectors:
La: 0.000 0.000 0.000
La: 0.000 0.500 0.500
La: 0.500 0.000 0.500
La: 0.500 0.500 0.000
Pr: 0.000 0.000 0.500
Pr: 0.000 0.500 0.000
Pr: 0.500 0.000 0.000
Pr: 0.500 0.500 0.500
Ge: 0.250 0.250 0.250
Ge: 0.250 0.750 0.750
Ge: 0.750 0.250 0.750
Ge: 0.750 0.750 0.250
Rh: 0.250 0.250 0.750
Rh: 0.250 0.750 0.250
Rh: 0.750 0.250 0.250
Rh: 0.750 0.750 0.750

Values from the calculation:
- Calculated density: 7.6 Mg/m³
- DOS at the Fermi energy: 3.51 states/eV/f.u.

Q) The following is a DFT calculation (PBE-GGA) of LaPrGeRh after structural relaxation.

Lattice parameters (Å, degrees): 4.204 4.307 11.129 90.00 90.00 90.00
Sites, in units of the cell vectors:
La: 0.000 0.000 0.000
La: 0.000 0.500 0.500
Pr: 0.500 0.000 0.722
Pr: 0.500 0.500 0.222
Ge: 0.000 0.000 0.292
Ge: 0.000 0.500 0.792
Rh: 0.500 0.000 0.441
Rh: 0.500 0.500 0.941

Values from the calculation:
- Calculated density: 7.5 Mg/m³
- DOS at the Fermi energy: 3.99 states/eV/f.u.

Referenced to the most stable arrangement, the calculated values in kJ/mol of atoms are P) 18.5; Q) 0.0.

P) The following is a DFT calculation (PBE-GGA) of La3GePt after structural relaxation.

Lattice parameters (Å, degrees): 12.125 4.309 11.399 90.00 90.00 90.00
Sites, in units of the cell vectors:
La: 0.045 0.250 0.142
La: 0.122 0.750 0.550
La: 0.225 0.250 0.804
La: 0.275 0.750 0.304
La: 0.378 0.250 0.050
La: 0.455 0.750 0.642
La: 0.545 0.250 0.358
La: 0.622 0.750 0.950
La: 0.725 0.250 0.696
La: 0.775 0.750 0.196
La: 0.878 0.250 0.450
La: 0.955 0.750 0.858
Ge: 0.183 0.750 0.004
Ge: 0.317 0.250 0.504
Ge: 0.683 0.750 0.496
Ge: 0.817 0.250 0.996
Pt: 0.002 0.750 0.322
Pt: 0.498 0.250 0.822
Pt: 0.502 0.750 0.178
Pt: 0.998 0.250 0.678

Values from the calculation:
- Calculated density: 7.6 Mg/m³
- DOS at the Fermi energy: 5.91 states/eV/f.u.

Q) The following is a DFT calculation (PBE-GGA) of La3GePt after structural relaxation.

Lattice parameters (Å, degrees): 5.614 5.614 5.614 90.00 90.00 90.00
Sites, in units of the cell vectors:
La: 0.000 0.000 0.500
La: 0.000 0.500 0.000
La: 0.500 0.000 0.000
Ge: 0.500 0.500 0.500
Pt: 0.000 0.000 0.000

Values from the calculation:
- Calculated density: 6.4 Mg/m³
- DOS at the Fermi energy: 6.47 states/eV/f.u.

R) The following is a DFT calculation (PBE-GGA) of La3GePt after structural relaxation.

Lattice parameters (Å, degrees): 5.580 7.659 8.029 68.62 79.31 69.20
Sites, in units of the cell vectors:
La: 0.053 0.097 0.194
La: 0.343 0.231 0.662
La: 0.348 0.468 0.228
La: 0.652 0.532 0.772
La: 0.657 0.769 0.338
La: 0.947 0.903 0.806
Ge: 0.147 0.691 0.527
Ge: 0.853 0.309 0.473
Pt: 0.427 0.836 0.972
Pt: 0.573 0.164 0.028

Values from the calculation:
- Calculated density: 7.6 Mg/m³
- DOS at the Fermi energy: 4.61 states/eV/f.u.

Referenced to the most stable arrangement, the calculated values in kJ/mol of atoms are P) 0.0; Q) 39.5; R) 4.4.

P) The following is a DFT calculation (PBE-GGA) of La7Ge2Pt2 after structural relaxation.

Lattice parameters (Å, degrees): 7.034 7.034 7.056 90.00 90.00 106.72
Sites, in units of the cell vectors:
La: 0.000 0.000 0.000
La: 0.000 0.500 0.276
La: 0.000 0.500 0.724
La: 0.500 0.000 0.276
La: 0.500 0.000 0.724
La: 0.500 0.500 0.277
La: 0.500 0.500 0.723
Ge: 0.159 0.159 0.500
Ge: 0.841 0.841 0.500
Pt: 0.285 0.715 0.000
Pt: 0.715 0.285 0.000

Values from the calculation:
- Calculated density: 7.5 Mg/m³
- DOS at the Fermi energy: 8.88 states/eV/f.u.

Q) The following is a DFT calculation (PBE-GGA) of La7Ge2Pt2 after structural relaxation.

Lattice parameters (Å, degrees): 9.296 9.296 9.296 152.93 71.21 115.57
Sites, in units of the cell vectors:
La: 0.000 0.000 0.000
La: 0.062 0.374 0.688
La: 0.143 0.771 0.372
La: 0.398 0.771 0.628
La: 0.492 0.606 0.886
La: 0.686 0.374 0.312
La: 0.720 0.606 0.114
Ge: 0.313 0.083 0.230
Ge: 0.853 0.083 0.770
Pt: 0.342 0.342 0.000
Pt: 0.785 0.285 0.500

Values from the calculation:
- Calculated density: 7.7 Mg/m³
- DOS at the Fermi energy: 13.20 states/eV/f.u.

Referenced to the most stable arrangement, the calculated values in kJ/mol of atoms are P) 14.6; Q) 0.0.